No. 1
Entry from Alexandria: a crystal of BaSrBi3 relaxed with PBEsol (meta-GGA SCAN).

The structure in CIF format:
```
data_BaSrBi3
_space_group_name_H-M_alt 'P n n a'
_space_group_IT_number 52
_space_group_name_Hall '-P 2a 2bc'
_cell_length_a 15.4552
_cell_length_b 6.9116
_cell_length_c 6.7406
_cell_angle_alpha 90.00
_cell_angle_beta 90.00
_cell_angle_gamma 90.00
loop_
_atom_site_label
_atom_site_type_symbol
_atom_site_fract_x
_atom_site_fract_y
_atom_site_fract_z
Ba1 Ba 0.2500 0.0000 0.0504
Sr1 Sr 0.0007 0.2500 0.2500
Bi1 Bi 0.0583 0.7500 0.2500
Bi2 Bi 0.1505 0.0528 0.5690
```

- Spin magnetization: 0.00 μB per atom
- Energy relative to the elements: -819.0 meV/atom

No. 2
Entry from Alexandria: a crystal of NaSi2Hg relaxed with PBEsol (meta-GGA SCAN).

The structure in CIF format:
```
data_NaSi2Hg
_space_group_name_H-M_alt 'I -4 2 d'
_space_group_IT_number 122
_space_group_name_Hall 'I -4 2bw'
_cell_length_a 4.1126
_cell_length_b 4.1126
_cell_length_c 19.7096
_cell_angle_alpha 90.00
_cell_angle_beta 90.00
_cell_angle_gamma 90.00
loop_
_atom_site_label
_atom_site_type_symbol
_atom_site_fract_x
_atom_site_fract_y
_atom_site_fract_z
Na1 Na 0.0000 0.0000 0.0000
Si1 Si 0.1711 0.2500 0.6250
Hg1 Hg 0.0000 0.0000 0.5000
```

- Energy relative to the elements, uncorrected: 0.378 eV/atom
- Spin magnetization: 0.00 μB per atom

No. 3
Entry from Alexandria: a crystal of ZnFe4Mo relaxed with PBEsol (meta-GGA SCAN).

The structure in CIF format:
```
data_ZnFe4Mo
_space_group_name_H-M_alt 'F -4 3 m'
_space_group_IT_number 216
_space_group_name_Hall 'F -4 2 3'
_cell_length_a 6.5486
_cell_length_b 6.5486
_cell_length_c 6.5486
_cell_angle_alpha 90.00
_cell_angle_beta 90.00
_cell_angle_gamma 90.00
loop_
_atom_site_label
_atom_site_type_symbol
_atom_site_fract_x
_atom_site_fract_y
_atom_site_fract_z
Zn1 Zn 0.0000 0.0000 0.0000
Fe1 Fe 0.1252 0.1252 0.6252
Mo1 Mo 0.2500 0.2500 0.2500
```

- Spin magnetization: 1.13 μB per atom
- Energy relative to the elements: 93.8 meV/atom